Record 1
# PuZnGaNi

A relaxed structure of PuZnGaNi (PBE, the Alexandria database).

E_form   -0.135 eV/atom

Lattice parameters (Å, degrees): 6.508 6.508 6.508 90.00 90.00 90.00
Space group F-43m (No. 216)
Inequivalent atoms, fractional coordinates:
Pu 0.000 0.000 0.000 (multiplicity 4)
Zn 0.250 0.250 0.750 (multiplicity 4)
Ga 0.000 0.000 0.500 (multiplicity 4)
Ni 0.250 0.250 0.250 (multiplicity 4)

Record 2
# Tl2AsOs

A relaxed structure of Tl2AsOs (PBE, the Alexandria database).

Distance to the lowest polymorph of the same formula   670 meV per atom
E_form   0.928 eV/atom

Lattice parameters (Å, degrees): 3.743 4.962 9.211 90.00 90.00 90.00
Space group Cmmm (No. 65)
Inequivalent atoms, fractional coordinates:
Tl 0.000 0.000 0.231 (multiplicity 4)
As 0.000 0.500 0.500 (multiplicity 2)
Os 0.000 0.500 0.000 (multiplicity 2)